1.
LaTcP2 | PBE-GGA | optimized geometry

Lattice parameters (Å, degrees): 4.792 4.792 8.391 73.41 73.41 90.00
Fractional positions:
P 0.429 0.125 0.250
P 0.321 0.625 0.250
P 0.375 0.571 0.750
P 0.875 0.679 0.750
Tc 0.500 0.500 0.000
Tc 0.250 0.750 0.500
La 0.000 0.000 0.000
La 0.750 0.250 0.500

Calculated values
The value obtained for the formation energy is -0.60 eV/atom. The calculation puts the volume at 22.03 Å³ per atom. Its energy above the lowest structure with this stoichiometry is 308 meV/atom.

---

2.
Na2AcHgO4 | PBE-GGA | optimized geometry

Lattice parameters (Å, degrees): 3.580 6.230 6.317 113.20 90.00 90.00
Fractional positions:
Na 0.500 0.000 0.500
Na 0.000 0.500 0.500
Ac 0.500 0.500 0.000
Hg 0.000 0.000 0.000
O 0.500 0.214 0.210
O 0.500 0.786 0.790
O 0.000 0.285 0.741
O 0.000 0.715 0.259

Calculated values
The calculation puts the volume at 16.19 Å³ per atom. The value obtained for the energy relative to the elements, uncorrected is -1.543 eV per atom.

---

3.
Pm3Er4Ag | PBE-GGA | optimized geometry

Lattice parameters (Å, degrees): 3.572 3.572 18.986 90.00 90.00 90.00
Fractional positions:
Er 0.000 0.000 0.902
Er 0.000 0.000 0.098
Er 0.000 0.000 0.366
Er 0.000 0.000 0.634
Ag 0.500 0.500 0.000
Pm 0.500 0.500 0.233
Pm 0.500 0.500 0.500
Pm 0.500 0.500 0.767

Calculated values
The value obtained for the formation energy is -0.06 eV/atom. The calculation puts the volume at 30.28 Å³ per atom.

---

4.
ZnCo2Br6 | PBE-GGA | optimized geometry

Lattice parameters (Å, degrees): 6.625 9.998 9.998 92.08 73.50 73.50
Fractional positions:
Zn 0.250 0.217 0.783
Zn 0.750 0.783 0.217
Co 0.137 0.647 0.806
Co 0.363 0.194 0.353
Co 0.863 0.353 0.194
Co 0.637 0.806 0.647
Br 0.315 0.758 0.619
Br 0.185 0.381 0.242
Br 0.685 0.242 0.381
Br 0.815 0.619 0.758
Br 0.882 0.808 0.418
Br 0.618 0.582 0.192
Br 0.118 0.192 0.582
Br 0.382 0.418 0.808
Br 0.070 0.791 0.021
Br 0.430 0.979 0.209
Br 0.930 0.209 0.979
Br 0.570 0.021 0.791

Calculated values
The calculation puts the volume at 33.55 Å³ per atom. The value obtained for the energy relative to the elements, uncorrected is -0.472 eV per atom.

---

5.
TcPOs2 | PBE-GGA | optimized geometry

Lattice parameters (Å, degrees): 4.305 4.305 4.305 60.00 60.00 60.00
Fractional positions:
Tc 0.750 0.750 0.750
P 0.500 0.500 0.500
Os 0.000 0.000 0.000
Os 0.250 0.250 0.250

Calculated values
The value obtained for the formation energy is 0.41 eV/atom. The calculation puts the volume at 14.11 Å³ per atom.

---

6.
KAgHgI4 | PBE-GGA | optimized geometry

Lattice parameters (Å, degrees): 7.496 8.634 9.603 90.00 102.04 90.00
Fractional positions:
K 0.806 0.750 0.941
K 0.194 0.250 0.059
Ag 0.707 0.750 0.302
Ag 0.293 0.250 0.698
Hg 0.225 0.750 0.331
Hg 0.775 0.250 0.669
I 0.038 0.495 0.732
I 0.962 0.995 0.268
I 0.962 0.505 0.268
I 0.038 0.005 0.732
I 0.390 0.750 0.072
I 0.610 0.250 0.928
I 0.541 0.750 0.544
I 0.459 0.250 0.456

Calculated values
The calculation puts the volume at 43.42 Å³ per atom. The value obtained for the energy relative to the elements, uncorrected is -0.586 eV per atom.

---

7.
ScRuO4 | PBE-GGA | optimized geometry

Lattice parameters (Å, degrees): 4.735 5.703 6.254 124.25 90.00 90.00
Fractional positions:
Sc 0.000 0.000 0.500
Sc 0.500 0.500 0.000
Ru 0.500 0.500 0.500
Ru 0.000 0.000 0.000
O 0.713 0.694 0.831
O 0.787 0.194 0.331
O 0.316 0.303 0.634
O 0.816 0.197 0.866
O 0.184 0.803 0.134
O 0.684 0.697 0.366
O 0.213 0.806 0.669
O 0.287 0.306 0.169

Calculated values
The calculation puts the volume at 11.63 Å³ per atom. The value obtained for the energy relative to the elements, uncorrected is -1.934 eV per atom.

---

8.
KCu2AgCl5 | PBE-GGA | optimized geometry

Lattice parameters (Å, degrees): 4.677 4.677 9.398 90.00 90.00 90.00
Fractional positions:
K 0.000 0.000 0.500
Cu 0.500 0.500 0.234
Cu 0.500 0.500 0.766
Ag 0.000 0.000 0.000
Cl 0.000 0.500 0.192
Cl 0.500 0.000 0.192
Cl 0.000 0.500 0.808
Cl 0.500 0.000 0.808
Cl 0.500 0.500 0.500

Calculated values
The calculation puts the volume at 22.84 Å³ per atom. The value obtained for the energy relative to the elements, uncorrected is -0.775 eV per atom.

---

9.
Sc2SbAs | PBE-GGA | optimized geometry

Lattice parameters (Å, degrees): 4.973 4.973 4.973 60.00 60.00 60.00
Fractional positions:
Sc 0.250 0.250 0.250
Sc 0.750 0.750 0.750
Sb 0.500 0.500 0.500
As 0.000 0.000 0.000

Calculated values
The calculation puts the volume at 21.75 Å³ per atom. The value obtained for the energy relative to the elements, uncorrected is -0.707 eV per atom.

---

10.
Ca5ZnIn4 | PBE-GGA | optimized geometry

Lattice parameters (Å, degrees): 3.831 3.831 19.055 90.00 90.00 90.00
Fractional positions:
Ca 0.500 0.500 0.093
Ca 0.500 0.500 0.297
Ca 0.500 0.500 0.500
Ca 0.500 0.500 0.703
Ca 0.500 0.500 0.907
Zn 0.000 0.000 0.000
In 0.000 0.000 0.195
In 0.000 0.000 0.398
In 0.000 0.000 0.602
In 0.000 0.000 0.805

Calculated values
The value obtained for the formation energy is -0.42 eV/atom. The calculation puts the volume at 27.97 Å³ per atom.

---

11.
KPuI5 | PBE-GGA | optimized geometry

Lattice parameters (Å, degrees): 8.272 8.272 12.170 93.86 109.92 113.56
Fractional positions:
K 0.717 0.467 0.250
K 0.283 0.533 0.750
Pu 0.000 0.000 0.000
Pu 0.500 0.000 0.500
I 0.777 0.084 0.119
I 0.118 0.794 0.512
I 0.535 0.342 0.619
I 0.313 0.063 0.250
I 0.782 0.606 0.988
I 0.218 0.394 0.012
I 0.687 0.937 0.750
I 0.465 0.658 0.381
I 0.882 0.206 0.488
I 0.223 0.916 0.881

Calculated values
The calculation puts the volume at 49.82 Å³ per atom. The value obtained for the energy relative to the elements, uncorrected is -1.001 eV per atom.

---

12.
AlZn2Re | PBE-GGA | optimized geometry

Lattice parameters (Å, degrees): 4.732 2.650 4.719 87.87 90.00 90.00
Fractional positions:
Re 0.500 0.750 0.750
Zn 0.000 0.035 0.996
Zn 0.000 0.465 0.504
Al 0.500 0.250 0.250

Calculated values
The value obtained for the formation energy is 0.06 eV/atom. The calculation puts the volume at 14.78 Å³ per atom.

---

no.,VASP energy (eV/atom)
1,-7.13
2,-4.90
3,-4.48
4,-3.31
5,-9.15
6,-2.08
7,-7.84
8,-3.15
9,-6.07
10,-2.65
11,-4.31
12,-4.62